Material: CeDy4Tl4
Method: DFT, GGA-PBE
State: relaxed

- Energy of formation: -119 meV per atom
- SG: P4_2/n, No. 86
- E: -3.875 eV/atom
- Crystal system: tetragonal
- ρ: 10.18 g/cm³
- Total moment: 2.7 μB/cell
- Volume: 524.3 Å³ per cell

Lattice parameters (Å, degrees): 5.9892 9.3560 9.3560 90.00 90.00 90.00
Closest atoms and distances in Å follow each position.
Fractional coordinates of all 18 atoms:
Dy1 0.6110 0.1615 0.4249  5 Tl 3.16-3.42, 1 Ce 3.31, 1 Dy 3.33
Tl1 0.9001 0.6053 0.2859  5 Dy 3.16-3.42, 1 Ce 3.28, 3 Tl 3.32-3.38
Dy2 0.1110 0.0751 0.6615  5 Tl 3.16-3.42, 1 Ce 3.31, 1 Dy 3.33
Tl2 0.4001 0.2141 0.1053  5 Dy 3.16-3.42, 1 Ce 3.28, 3 Tl 3.32-3.38
Dy3 0.1110 0.9249 0.3385  5 Tl 3.16-3.42, 1 Ce 3.31, 1 Dy 3.33
Tl3 0.0999 0.7141 0.6053  5 Dy 3.16-3.42, 1 Ce 3.28, 3 Tl 3.32-3.38
Dy4 0.3890 0.5751 0.1615  5 Tl 3.16-3.42, 1 Ce 3.31, 1 Dy 3.33
Tl4 0.5999 0.1053 0.7859  5 Dy 3.16-3.42, 1 Ce 3.28, 3 Tl 3.32-3.38
Dy5 0.6110 0.8385 0.5751  5 Tl 3.16-3.42, 1 Ce 3.31, 1 Dy 3.33
Tl5 0.0999 0.2859 0.3947  5 Dy 3.16-3.42, 1 Ce 3.28, 3 Tl 3.32-3.38
Ce1 0.5000 0.5000 0.5000  4 Tl 3.28, 4 Dy 3.31
Tl6 0.9001 0.3947 0.7141  5 Dy 3.16-3.42, 1 Ce 3.28, 3 Tl 3.32-3.38
Tl7 0.5999 0.8947 0.2141  5 Dy 3.16-3.42, 1 Ce 3.28, 3 Tl 3.32-3.38
Dy6 0.8890 0.3385 0.0751  5 Tl 3.16-3.42, 1 Ce 3.31, 1 Dy 3.33
Dy7 0.8890 0.6615 0.9249  5 Tl 3.16-3.42, 1 Ce 3.31, 1 Dy 3.33
Tl8 0.4001 0.7859 0.8947  5 Dy 3.16-3.42, 1 Ce 3.28, 3 Tl 3.32-3.38
Ce2 0.0000 0.0000 0.0000  4 Tl 3.28, 4 Dy 3.31
Dy8 0.3890 0.4249 0.8385  5 Tl 3.16-3.42, 1 Ce 3.31, 1 Dy 3.33

***

Material: HgBi4N2
Method: DFT, GGA-PBE
State: relaxed

- E_form (uncorrected): 10.3 kcal/mol of atoms
- SG: P-1, No. 2
- E: -4.191 eV/atom
- Crystal system: triclinic
- ρ: 10.17 g/cm³
- Total moment: 0.0 μB/cell
- Volume: 173.9 Å³ per cell

Lattice parameters (Å, degrees): 3.4882 6.7669 7.6362 90.37 99.55 78.11
Closest atoms and distances in Å follow each position.
Fractional coordinates of all 7 atoms:
Hg1 0.0000 0.5000 0.0000  4 Bi 3.08-3.39
N1 0.2027 0.6633 0.5682  4 Bi 2.26-2.35
Bi1 0.6181 0.6854 0.3616  3 N 2.34-2.35
Bi2 0.8198 0.1393 0.1929  1 N 2.26
N2 0.7973 0.3367 0.4318  4 Bi 2.26-2.35
Bi3 0.1802 0.8607 0.8071  1 N 2.26
Bi4 0.3819 0.3146 0.6384  3 N 2.34-2.35